No. 1
SrAl3Cd | the Alexandria database | PBE | relaxed; calculated formation energy = 1.304 eV per atom; raw total energy = -1.461 eV/atom
1.0
6.0266 0.0000 0.0000
0.0000 6.0266 0.0000
0.0000 0.0000 6.0266
Sr Al Cd
1 3 1
Direct
0.0000 0.0000 0.0000
0.0000 0.0000 0.5000
0.0000 0.5000 0.0000
0.5000 0.0000 0.0000
0.5000 0.5000 0.5000



No. 2
Sr2AlCd | the Alexandria database | PBE | relaxed; calculated formation energy = -0.172 eV per atom; raw total energy = -2.178 eV/atom
1.0
6.4178 -1.9407 0.0000
6.4178 1.9407 0.0000
-2.3991 0.0000 5.1186
Sr Al Cd
2 1 1
Direct
0.0000 0.0000 0.0000
0.1983 0.1983 0.6918
0.7548 0.7548 0.2451
0.4330 0.4330 0.4360



No. 3
SrAlCd3 | the Alexandria database | PBE | relaxed; calculated formation energy = -0.223 eV per atom; raw total energy = -1.857 eV/atom; distance to the lowest polymorph of the same formula = 0.005 eV/atom
1.0
3.2858 -5.9710 0.0000
3.2858 5.9710 0.0000
0.0000 0.0000 6.6335
Sr Al Cd
2 2 6
Direct
0.2444 0.7556 0.7500
0.7556 0.2444 0.2500
0.3654 0.6346 0.2500
0.6346 0.3654 0.7500
0.1418 0.8582 0.2500
0.2597 0.2597 0.0000
0.2597 0.2597 0.5000
0.7403 0.7403 0.0000
0.7403 0.7403 0.5000
0.8582 0.1418 0.7500



No. 4
SrAlCd11 | the Alexandria database | PBE | relaxed; calculated formation energy = -0.099 eV per atom; raw total energy = -1.290 eV/atom
1.0
3.0064 -7.0884 0.0000
3.0064 7.0884 0.0000
-2.9042 0.0000 7.1164
Sr Al Cd
1 1 11
Direct
0.0000 0.0000 0.0000
0.5000 0.5000 0.5000
0.0000 0.0000 0.5000
0.0000 0.5000 0.0000
0.0085 0.3583 0.3552
0.2893 0.5041 0.7810
0.3583 0.0085 0.3552
0.4959 0.7107 0.2190
0.5000 0.0000 0.0000
0.5041 0.2893 0.7810
0.6417 0.9915 0.6448
0.7107 0.4959 0.2190
0.9915 0.6417 0.6448



No. 5
Sr2AlCd | the Alexandria database | PBE | relaxed; calculated formation energy = -0.055 eV per atom; raw total energy = -2.060 eV/atom
1.0
2.7268 -2.7476 0.0000
2.7268 2.7476 0.0000
0.0000 0.0000 9.1825
Sr Al Cd
2 1 1
Direct
0.0000 0.0000 0.0000
0.5000 0.5000 0.3824
0.0000 0.0000 0.6150
0.5000 0.5000 0.7664



No. 6
Sr6AlCd | the Alexandria database | PBE | relaxed; calculated formation energy = -0.114 eV per atom; raw total energy = -1.957 eV/atom
1.0
-2.8998 2.8998 10.2849
2.8998 -2.8998 10.2849
2.8998 2.8998 -10.2849
Sr Al Cd
6 1 1
Direct
0.0934 0.5934 0.5000
0.2484 0.2484 0.0000
0.4066 0.9066 0.5000
0.5934 0.0934 0.5000
0.7516 0.7516 0.0000
0.9066 0.4066 0.5000
0.0000 0.0000 0.0000
0.5000 0.5000 0.0000



No. 7
SrAl4Cd | the Alexandria database | PBE | relaxed; calculated formation energy = -0.020 eV per atom; raw total energy = -2.948 eV/atom
1.0
0.0000 4.0449 4.0449
4.0449 0.0000 4.0449
4.0449 4.0449 0.0000
Sr Al Cd
1 4 1
Direct
0.0000 0.0000 0.0000
0.1247 0.6251 0.6251
0.6251 0.1247 0.6251
0.6251 0.6251 0.1247
0.6251 0.6251 0.6251
0.2500 0.2500 0.2500



No. 8
Sr2AlCd | the Alexandria database | PBE | relaxed; calculated formation energy = 0.018 eV per atom; raw total energy = -1.987 eV/atom
1.0
2.0405 1.1781 10.0435
-2.0405 1.1781 10.0435
0.0000 -2.3561 10.0435
Sr Al Cd
2 1 1
Direct
0.2481 0.2481 0.2481
0.7519 0.7519 0.7519
0.5000 0.5000 0.5000
0.0000 0.0000 0.0000



Q: Which value of raw total energy does entry 1 give?
A: -1.461 eV/atom



Q: Which of these has the highest calculated formation energy?
A: SrAl3Cd



Q: Look up the raw total energy of the first one.
A: -1.461 eV/atom



Q: The highest raw total energy belongs to which entry?
A: SrAlCd11